1.
DySi2Os | GGA-PBE | relaxed

Summary:
V = 66 Å³/f.u.
total magnetization = 0.000 Bohr magnetons per cell
total energy = -6.875 eV per atom
space-group type = R-3m, No. 166

Cell lengths 4.451, 4.451, 4.451 Å; angles 62.69, 62.69, 62.69 degrees
Sites, in units of the cell vectors:
Dy: 0.000 0.000 0.000
Si: 0.258 0.258 0.258
Si: 0.742 0.742 0.742
Os: 0.500 0.500 0.500

***

2.
DySi4Os4 | GGA-PBE | relaxed

Summary:
V = 142 Å³/f.u.
total magnetization = 0.000 Bohr magnetons per cell
total energy = -8.281 eV per atom
space-group type = P4_2/nmc, No. 137

Cell lengths 5.959, 5.959, 8.018 Å; angles 90.00, 90.00, 90.00 degrees
Sites, in units of the cell vectors:
Dy: 0.250 0.750 0.250
Dy: 0.750 0.250 0.750
Si: 0.053 0.250 0.072
Si: 0.250 0.053 0.572
Si: 0.250 0.447 0.572
Si: 0.447 0.250 0.072
Si: 0.553 0.750 0.928
Si: 0.750 0.553 0.428
Si: 0.750 0.947 0.428
Si: 0.947 0.750 0.928
Os: 0.003 0.250 0.373
Os: 0.250 0.003 0.873
Os: 0.250 0.497 0.873
Os: 0.497 0.250 0.373
Os: 0.503 0.750 0.627
Os: 0.750 0.503 0.127
Os: 0.750 0.997 0.127
Os: 0.997 0.750 0.627

***

3.
DySi2Os | GGA-PBE | relaxed

Summary:
V = 69 Å³/f.u.
total magnetization = 0.000 Bohr magnetons per cell
total energy = -7.255 eV per atom
space-group type = Pnma, No. 62

Cell lengths 6.545, 4.197, 10.000 Å; angles 90.00, 90.00, 90.00 degrees
Sites, in units of the cell vectors:
Dy: 0.234 0.250 0.180
Dy: 0.266 0.750 0.680
Dy: 0.734 0.250 0.320
Dy: 0.766 0.750 0.820
Si: 0.039 0.750 0.338
Si: 0.246 0.750 0.973
Si: 0.254 0.250 0.473
Si: 0.461 0.250 0.838
Si: 0.539 0.750 0.162
Si: 0.746 0.750 0.527
Si: 0.754 0.250 0.027
Si: 0.961 0.250 0.662
Os: 0.088 0.250 0.901
Os: 0.412 0.750 0.401
Os: 0.588 0.250 0.599
Os: 0.912 0.750 0.099

***

4.
Dy4Si6Os7 | GGA-PBE | relaxed

Summary:
V = 281 Å³/f.u.
total magnetization = 0.000 Bohr magnetons per cell
total energy = -8.173 eV per atom
space-group type = Im-3m, No. 229

Cell lengths 7.147, 7.147, 7.147 Å; angles 109.47, 109.47, 109.47 degrees
Sites, in units of the cell vectors:
Dy: 0.000 0.000 0.500
Dy: 0.000 0.500 0.000
Dy: 0.500 0.000 0.000
Dy: 0.500 0.500 0.500
Si: 0.000 0.316 0.316
Si: 0.000 0.684 0.684
Si: 0.316 0.000 0.316
Si: 0.316 0.316 0.000
Si: 0.684 0.000 0.684
Si: 0.684 0.684 0.000
Os: 0.000 0.000 0.000
Os: 0.250 0.500 0.750
Os: 0.250 0.750 0.500
Os: 0.500 0.250 0.750
Os: 0.500 0.750 0.250
Os: 0.750 0.250 0.500
Os: 0.750 0.500 0.250

***

5.
DySi7Os3 | GGA-PBE | relaxed

Summary:
V = 169 Å³/f.u.
total magnetization = 0.000 Bohr magnetons per cell
total energy = -7.387 eV per atom
space-group type = R-3c, No. 167

Cell lengths 8.009, 8.009, 8.009 Å; angles 57.10, 57.10, 57.10 degrees
Sites, in units of the cell vectors:
Dy: 0.000 0.000 0.000
Dy: 0.500 0.500 0.500
Si: 0.063 0.854 0.669
Si: 0.146 0.331 0.937
Si: 0.169 0.354 0.563
Si: 0.250 0.250 0.250
Si: 0.331 0.937 0.146
Si: 0.354 0.563 0.169
Si: 0.437 0.831 0.646
Si: 0.563 0.169 0.354
Si: 0.646 0.437 0.831
Si: 0.669 0.063 0.854
Si: 0.750 0.750 0.750
Si: 0.831 0.646 0.437
Si: 0.854 0.669 0.063
Si: 0.937 0.146 0.331
Os: 0.078 0.750 0.422
Os: 0.250 0.578 0.922
Os: 0.422 0.078 0.750
Os: 0.578 0.922 0.250
Os: 0.750 0.422 0.078
Os: 0.922 0.250 0.578

***

6.
DySi2Os | GGA-PBE | relaxed

Summary:
V = 70 Å³/f.u.
total magnetization = 0.000 Bohr magnetons per cell
total energy = -7.374 eV per atom
space-group type = Pnma, No. 62

Cell lengths 6.952, 4.077, 9.910 Å; angles 90.00, 90.00, 90.00 degrees
Sites, in units of the cell vectors:
Dy: 0.154 0.250 0.126
Dy: 0.346 0.750 0.626
Dy: 0.654 0.250 0.374
Dy: 0.846 0.750 0.874
Si: 0.147 0.250 0.816
Si: 0.201 0.250 0.424
Si: 0.299 0.750 0.924
Si: 0.353 0.750 0.316
Si: 0.647 0.250 0.684
Si: 0.701 0.250 0.076
Si: 0.799 0.750 0.576
Si: 0.853 0.750 0.184
Os: 0.017 0.750 0.390
Os: 0.483 0.250 0.890
Os: 0.517 0.750 0.110
Os: 0.983 0.250 0.610

***

7.
DySi2Os2 | GGA-PBE | relaxed

Summary:
V = 84 Å³/f.u.
total magnetization = 0.000 Bohr magnetons per cell
total energy = -8.123 eV per atom
space-group type = P4/mmm, No. 123

Cell lengths 4.083, 4.083, 5.011 Å; angles 90.00, 90.00, 90.00 degrees
Sites, in units of the cell vectors:
Dy: 0.000 0.000 0.000
Si: 0.500 0.500 0.235
Si: 0.500 0.500 0.765
Os: 0.000 0.500 0.500
Os: 0.500 0.000 0.500

***

8.
DySi2TcOs | GGA-PBE | relaxed

Summary:
V = 85 Å³/f.u.
total magnetization = 0.000 Bohr magnetons per cell
total energy = -8.083 eV per atom
space-group type = I-4m2, No. 119

Cell lengths 5.721, 5.721, 5.721 Å; angles 137.31, 137.31, 61.96 degrees
Sites, in units of the cell vectors:
Dy: 0.000 0.000 0.000
Si: 0.374 0.374 0.000
Si: 0.626 0.626 0.000
Tc: 0.750 0.250 0.500
Os: 0.250 0.750 0.500

***

9.
DyVSi2Os | GGA-PBE | relaxed

Summary:
V = 83 Å³/f.u.
total magnetization = 0.710 Bohr magnetons per cell
total energy = -7.820 eV per atom
space-group type = I-4m2, No. 119

Cell lengths 5.968, 5.968, 5.968 Å; angles 141.02, 141.02, 56.31 degrees
Sites, in units of the cell vectors:
Dy: 0.000 0.000 0.000
V: 0.250 0.750 0.500
Si: 0.385 0.385 0.000
Si: 0.615 0.615 0.000
Os: 0.750 0.250 0.500

***

10.
Sm2DyOs | GGA-PBE | relaxed

Summary:
V = 111 Å³/f.u.
total magnetization = 0.000 Bohr magnetons per cell
energy relative to the elements = -183 meV/atom
total energy = -6.501 eV per atom
space-group type = Pnma, No. 62

Cell lengths 7.438, 9.327, 6.423 Å; angles 90.00, 90.00, 90.00 degrees
Sites, in units of the cell vectors:
Sm: 0.175 0.064 0.170
Sm: 0.175 0.436 0.170
Sm: 0.325 0.564 0.670
Sm: 0.325 0.936 0.670
Sm: 0.675 0.064 0.330
Sm: 0.675 0.436 0.330
Sm: 0.825 0.564 0.830
Sm: 0.825 0.936 0.830
Dy: 0.042 0.250 0.637
Dy: 0.458 0.750 0.137
Dy: 0.542 0.250 0.863
Dy: 0.958 0.750 0.363
Os: 0.116 0.750 0.963
Os: 0.384 0.250 0.463
Os: 0.616 0.750 0.537
Os: 0.884 0.250 0.037

***

11.
SmDyOs4 | GGA-PBE | relaxed

Summary:
V = 110 Å³/f.u.
total magnetization = 0.000 Bohr magnetons per cell
energy relative to the elements = -211 meV/atom
total energy = -9.251 eV per atom
space-group type = F-43m, No. 216

Cell lengths 5.384, 5.384, 5.384 Å; angles 60.00, 60.00, 60.00 degrees
Sites, in units of the cell vectors:
Sm: 0.000 0.000 0.000
Dy: 0.250 0.250 0.250
Os: 0.125 0.625 0.625
Os: 0.625 0.125 0.625
Os: 0.625 0.625 0.125
Os: 0.625 0.625 0.625

***

12.
SmDy2Os | GGA-PBE | relaxed

Summary:
V = 114 Å³/f.u.
total magnetization = 0.000 Bohr magnetons per cell
energy relative to the elements = 263 meV/atom
total energy = -6.025 eV per atom
space-group type = R-3m, No. 166

Cell lengths 11.129, 11.129, 11.129 Å; angles 17.90, 17.90, 17.90 degrees
Sites, in units of the cell vectors:
Sm: 0.000 0.000 0.000
Dy: 0.106 0.106 0.106
Dy: 0.894 0.894 0.894
Os: 0.500 0.500 0.500

***

13.
SmDy2Os | GGA-PBE | relaxed

Summary:
V = 108 Å³/f.u.
total magnetization = 0.000 Bohr magnetons per cell
energy relative to the elements = -223 meV/atom
total energy = -6.511 eV per atom
space-group type = Pnma, No. 62

Cell lengths 7.437, 9.119, 6.395 Å; angles 90.00, 90.00, 90.00 degrees
Sites, in units of the cell vectors:
Sm: 0.040 0.250 0.129
Sm: 0.460 0.750 0.629
Sm: 0.540 0.250 0.371
Sm: 0.960 0.750 0.871
Dy: 0.174 0.064 0.666
Dy: 0.174 0.436 0.666
Dy: 0.326 0.564 0.166
Dy: 0.326 0.936 0.166
Dy: 0.674 0.064 0.834
Dy: 0.674 0.436 0.834
Dy: 0.826 0.564 0.334
Dy: 0.826 0.936 0.334
Os: 0.116 0.750 0.454
Os: 0.384 0.250 0.954
Os: 0.616 0.750 0.046
Os: 0.884 0.250 0.546

***

14.
Sm3DyOs | GGA-PBE | relaxed

Summary:
V = 169 Å³/f.u.
total magnetization = 0.003 Bohr magnetons per cell
energy relative to the elements = 118 meV/atom
total energy = -5.880 eV per atom
space-group type = Pm-3m, No. 221

Cell lengths 5.532, 5.532, 5.532 Å; angles 90.00, 90.00, 90.00 degrees
Sites, in units of the cell vectors:
Sm: 0.000 0.000 0.500
Sm: 0.000 0.500 0.000
Sm: 0.500 0.000 0.000
Dy: 0.500 0.500 0.500
Os: 0.000 0.000 0.000

***

15.
Sm2Dy3Os2 | GGA-PBE | relaxed

Summary:
V = 186 Å³/f.u.
total magnetization = 0.000 Bohr magnetons per cell
energy relative to the elements = -205 meV/atom
total energy = -6.734 eV per atom
space-group type = C2/m, No. 12

Cell lengths 6.330, 6.330, 8.490 Å; angles 112.40, 112.40, 36.53 degrees
Sites, in units of the cell vectors:
Sm: 0.163 0.163 0.308
Sm: 0.837 0.837 0.692
Dy: 0.375 0.375 0.072
Dy: 0.500 0.500 0.500
Dy: 0.625 0.625 0.928
Os: 0.176 0.176 0.720
Os: 0.824 0.824 0.280

***

16.
SmDy2Os | GGA-PBE | relaxed

Summary:
V = 109 Å³/f.u.
total magnetization = 0.000 Bohr magnetons per cell
energy relative to the elements = -205 meV/atom
total energy = -6.494 eV per atom
space-group type = Cmcm, No. 63

Cell lengths 6.359, 6.359, 9.070 Å; angles 90.00, 90.00, 143.52 degrees
Sites, in units of the cell vectors:
Sm: 0.075 0.925 0.750
Sm: 0.925 0.075 0.250
Dy: 0.354 0.646 0.567
Dy: 0.354 0.646 0.933
Dy: 0.646 0.354 0.067
Dy: 0.646 0.354 0.433
Os: 0.256 0.744 0.250
Os: 0.744 0.256 0.750

***

17.
Sm2DyOs | GGA-PBE | relaxed

Summary:
V = 118 Å³/f.u.
total magnetization = 0.021 Bohr magnetons per cell
energy relative to the elements = 358 meV/atom
total energy = -5.960 eV per atom
space-group type = R-3m, No. 166

Cell lengths 11.103, 11.103, 11.103 Å; angles 18.30, 18.30, 18.30 degrees
Sites, in units of the cell vectors:
Sm: 0.106 0.106 0.106
Sm: 0.894 0.894 0.894
Dy: 0.000 0.000 0.000
Os: 0.500 0.500 0.500

***

18.
SmDy2Os | GGA-PBE | relaxed

Summary:
V = 108 Å³/f.u.
total magnetization = 0.000 Bohr magnetons per cell
energy relative to the elements = -121 meV/atom
total energy = -6.409 eV per atom
space-group type = P4/mmm, No. 123

Cell lengths 3.413, 3.413, 9.287 Å; angles 90.00, 90.00, 90.00 degrees
Sites, in units of the cell vectors:
Sm: 0.000 0.000 0.000
Dy: 0.500 0.500 0.322
Dy: 0.500 0.500 0.678
Os: 0.000 0.000 0.500

***

19.
Sm2DyOs | GGA-PBE | relaxed

Summary:
V = 111 Å³/f.u.
total magnetization = 0.000 Bohr magnetons per cell
energy relative to the elements = -166 meV/atom
total energy = -6.484 eV per atom
space-group type = Cmcm, No. 63

Cell lengths 6.323, 6.323, 9.161 Å; angles 90.00, 90.00, 142.61 degrees
Sites, in units of the cell vectors:
Sm: 0.143 0.857 0.567
Sm: 0.143 0.857 0.933
Sm: 0.857 0.143 0.067
Sm: 0.857 0.143 0.433
Dy: 0.422 0.578 0.750
Dy: 0.578 0.422 0.250
Os: 0.240 0.760 0.250
Os: 0.760 0.240 0.750

***

20.
SmDyTlOs | GGA-PBE | relaxed

Summary:
V = 95 Å³/f.u.
total magnetization = 0.000 Bohr magnetons per cell
energy relative to the elements = -107 meV/atom
total energy = -5.836 eV per atom
space-group type = F-43m, No. 216

Cell lengths 5.119, 5.119, 5.119 Å; angles 60.00, 60.00, 60.00 degrees
Sites, in units of the cell vectors:
Sm: 0.000 0.000 0.000
Dy: 0.500 0.500 0.500
Tl: 0.750 0.750 0.750
Os: 0.250 0.250 0.250

***

21.
Dy5Sn18Os6 | GGA-PBE | relaxed

Summary:
V = 682 Å³/f.u.
total magnetization = 0.000 Bohr magnetons per cell
energy relative to the elements = -300 meV/atom
total energy = -5.901 eV per atom
space-group type = F-43m, No. 216

Cell lengths 9.879, 9.879, 9.879 Å; angles 60.00, 60.00, 60.00 degrees
Sites, in units of the cell vectors:
Dy: 0.000 0.000 0.000
Dy: 0.117 0.628 0.628
Dy: 0.628 0.117 0.628
Dy: 0.628 0.628 0.117
Dy: 0.628 0.628 0.628
Sn: 0.002 0.002 0.347
Sn: 0.002 0.002 0.649
Sn: 0.002 0.347 0.002
Sn: 0.002 0.347 0.649
Sn: 0.002 0.649 0.002
Sn: 0.002 0.649 0.347
Sn: 0.250 0.250 0.250
Sn: 0.347 0.002 0.002
Sn: 0.347 0.002 0.649
Sn: 0.347 0.649 0.002
Sn: 0.406 0.406 0.406
Sn: 0.406 0.406 0.783
Sn: 0.406 0.783 0.406
Sn: 0.649 0.002 0.002
Sn: 0.649 0.002 0.347
Sn: 0.649 0.347 0.002
Sn: 0.750 0.750 0.750
Sn: 0.783 0.406 0.406
Os: 0.255 0.255 0.745
Os: 0.255 0.745 0.255
Os: 0.255 0.745 0.745
Os: 0.745 0.255 0.255
Os: 0.745 0.255 0.745
Os: 0.745 0.745 0.255

***

22.
DySn6Os | GGA-PBE | relaxed

Summary:
V = 207 Å³/f.u.
total magnetization = 0.000 Bohr magnetons per cell
energy relative to the elements = 12 meV/atom
total energy = -4.969 eV per atom
space-group type = C2/m, No. 12

Cell lengths 6.395, 6.395, 6.379 Å; angles 102.93, 102.93, 118.12 degrees
Sites, in units of the cell vectors:
Dy: 0.000 0.000 0.000
Sn: 0.136 0.689 0.250
Sn: 0.311 0.864 0.750
Sn: 0.444 0.444 0.714
Sn: 0.556 0.556 0.286
Sn: 0.689 0.136 0.250
Sn: 0.864 0.311 0.750
Os: 0.000 0.000 0.500